#1
# AsPb2 | Alexandria | GGA-PBEsol | optimized geometry
data_AsPb2
_symmetry_space_group_name_H-M 'C m c m'
_symmetry_Int_Tables_number 63
_symmetry_space_group_name_Hall '-C 2c 2'
_cell_length_a 4.086
_cell_length_b 13.644
_cell_length_c 6.028
_cell_angle_alpha 90.00
_cell_angle_beta 90.00
_cell_angle_gamma 90.00
loop_
_atom_site_label
_atom_site_type_symbol
_atom_site_fract_x
_atom_site_fract_y
_atom_site_fract_z
As1 As 0.000 0.187 0.250
Pb1 Pb 0.000 0.161 0.750
Pb2 Pb 0.000 0.459 0.750
# Mass density in g/cm³: 9.67

---

#2
# AsPb2 | Alexandria | GGA-PBEsol | optimized geometry
data_AsPb2
_symmetry_space_group_name_H-M 'P a -3'
_symmetry_Int_Tables_number 205
_symmetry_space_group_name_Hall '-P 2ac 2ab 3'
_cell_length_a 7.072
_cell_length_b 7.072
_cell_length_c 7.072
_cell_angle_alpha 90.00
_cell_angle_beta 90.00
_cell_angle_gamma 90.00
loop_
_atom_site_label
_atom_site_type_symbol
_atom_site_fract_x
_atom_site_fract_y
_atom_site_fract_z
As1 As 0.000 0.000 0.000
Pb1 Pb 0.131 0.631 0.869
# Mass density in g/cm³: 9.19

---

#1 is preferred energetically. Next in line: 3.6 kJ/mol of atoms higher.

---

#1
# Zr5Ag | Alexandria | GGA-PBEsol | optimized geometry
data_Zr5Ag
_symmetry_space_group_name_H-M 'P 6/m m m'
_symmetry_Int_Tables_number 191
_symmetry_space_group_name_Hall '-P 6 2'
_cell_length_a 5.7380
_cell_length_b 5.7380
_cell_length_c 4.8596
_cell_angle_alpha 90.00
_cell_angle_beta 90.00
_cell_angle_gamma 120.00
loop_
_atom_site_label
_atom_site_type_symbol
_atom_site_fract_x
_atom_site_fract_y
_atom_site_fract_z
Zr1 Zr 0.0000 0.5000 0.0000
Zr2 Zr 0.3333 0.6667 0.5000
Ag1 Ag 0.0000 0.0000 0.5000
# Mass density in g/cm³: 6.76

---

#2
# Zr5Ag | Alexandria | GGA-PBEsol | optimized geometry
data_Zr5Ag
_symmetry_space_group_name_H-M 'P 4/m m m'
_symmetry_Int_Tables_number 123
_symmetry_space_group_name_Hall '-P 4 2'
_cell_length_a 3.142
_cell_length_b 3.142
_cell_length_c 12.844
_cell_angle_alpha 90.00
_cell_angle_beta 90.00
_cell_angle_gamma 90.00
loop_
_atom_site_label
_atom_site_type_symbol
_atom_site_fract_x
_atom_site_fract_y
_atom_site_fract_z
Zr1 Zr 0.000 0.000 0.000
Zr2 Zr 0.000 0.000 0.344
Zr3 Zr 0.500 0.500 0.173
Ag1 Ag 0.500 0.500 0.500
# Mass density in g/cm³: 7.38

---

#2 is preferred energetically. Next in line: 65.2 kJ/mol of atoms higher.

---

#1
# Zn2CdAu | Alexandria | GGA-PBEsol | optimized geometry
data_Zn2CdAu
_symmetry_space_group_name_H-M 'I -4 m 2'
_symmetry_Int_Tables_number 119
_symmetry_space_group_name_Hall 'I -4 -2'
_cell_length_a 3.992
_cell_length_b 3.992
_cell_length_c 8.089
_cell_angle_alpha 90.00
_cell_angle_beta 90.00
_cell_angle_gamma 90.00
loop_
_atom_site_label
_atom_site_type_symbol
_atom_site_fract_x
_atom_site_fract_y
_atom_site_fract_z
Zn1 Zn 0.000 0.000 0.000
Zn2 Zn 0.000 0.500 0.250
Cd1 Cd 0.000 0.500 0.750
Au1 Au 0.000 0.000 0.500
# Mass density in g/cm³: 11.34

---

#2
# Zn2CdAu | Alexandria | GGA-PBEsol | optimized geometry
data_Zn2CdAu
_symmetry_space_group_name_H-M 'I 4/m m m'
_symmetry_Int_Tables_number 139
_symmetry_space_group_name_Hall '-I 4 2'
_cell_length_a 4.120
_cell_length_b 4.120
_cell_length_c 7.563
_cell_angle_alpha 90.00
_cell_angle_beta 90.00
_cell_angle_gamma 90.00
loop_
_atom_site_label
_atom_site_type_symbol
_atom_site_fract_x
_atom_site_fract_y
_atom_site_fract_z
Zn1 Zn 0.000 0.500 0.250
Cd1 Cd 0.000 0.000 0.000
Au1 Au 0.000 0.000 0.500
# Mass density in g/cm³: 11.39

---

#1 is preferred energetically. Next in line: 0.5 kJ/mol of atoms higher.

---

#1
# Li2MnP2O7 | Alexandria | GGA-PBEsol | optimized geometry
data_Li2MnP2O7
_symmetry_space_group_name_H-M 'P -4 21 m'
_symmetry_Int_Tables_number 113
_symmetry_space_group_name_Hall 'P -4 2ab'
_cell_length_a 7.701
_cell_length_b 7.701
_cell_length_c 4.978
_cell_angle_alpha 90.00
_cell_angle_beta 90.00
_cell_angle_gamma 90.00
loop_
_atom_site_label
_atom_site_type_symbol
_atom_site_fract_x
_atom_site_fract_y
_atom_site_fract_z
Li1 Li 0.221 0.279 0.455
Mn1 Mn 0.000 0.000 0.000
P1 P 0.142 0.642 0.110
O1 O 0.000 0.500 0.201
O2 O 0.080 0.808 0.254
O3 O 0.155 0.655 0.811
# Mass density in g/cm³: 2.73

---

#2
# Li2MnP2O7 | Alexandria | GGA-PBEsol | optimized geometry
data_Li2MnP2O7
_symmetry_space_group_name_H-M 'P -1'
_symmetry_Int_Tables_number 2
_symmetry_space_group_name_Hall '-P 1'
_cell_length_a 5.152
_cell_length_b 7.225
_cell_length_c 8.272
_cell_angle_alpha 65.43
_cell_angle_beta 85.67
_cell_angle_gamma 81.07
loop_
_atom_site_label
_atom_site_type_symbol
_atom_site_fract_x
_atom_site_fract_y
_atom_site_fract_z
Li1 Li 0.198 0.322 0.061
Li2 Li 0.203 0.371 0.493
Mn1 Mn 0.323 0.776 0.219
P1 P 0.237 0.953 0.800
P2 P 0.271 0.638 0.674
O1 O 0.057 0.040 0.154
O2 O 0.093 0.543 0.832
O3 O 0.163 0.653 0.500
O4 O 0.281 0.874 0.642
O5 O 0.326 0.167 0.715
O6 O 0.413 0.806 0.955
O7 O 0.441 0.461 0.299
# Mass density in g/cm³: 2.91

---

#2 is preferred energetically. Next in line: 7.3 kJ/mol of atoms higher.

---

#1
# FeWAu2 | Alexandria | GGA-PBEsol | optimized geometry
data_FeWAu2
_symmetry_space_group_name_H-M 'C 1 2/m 1'
_symmetry_Int_Tables_number 12
_symmetry_space_group_name_Hall '-C 2y'
_cell_length_a 9.297
_cell_length_b 2.751
_cell_length_c 4.785
_cell_angle_alpha 90.00
_cell_angle_beta 99.41
_cell_angle_gamma 90.00
loop_
_atom_site_label
_atom_site_type_symbol
_atom_site_fract_x
_atom_site_fract_y
_atom_site_fract_z
Fe1 Fe 0.000 0.000 0.000
W1 W 0.000 0.500 0.500
Au1 Au 0.249 0.500 0.248
# Mass density in g/cm³: 17.43

---

#2
# FeWAu2 | Alexandria | GGA-PBEsol | optimized geometry
data_FeWAu2
_symmetry_space_group_name_H-M 'P m m m'
_symmetry_Int_Tables_number 47
_symmetry_space_group_name_Hall '-P 2 2'
_cell_length_a 2.707
_cell_length_b 4.092
_cell_length_c 5.497
_cell_angle_alpha 90.00
_cell_angle_beta 90.00
_cell_angle_gamma 90.00
loop_
_atom_site_label
_atom_site_type_symbol
_atom_site_fract_x
_atom_site_fract_y
_atom_site_fract_z
Fe1 Fe 0.000 0.000 0.000
W1 W 0.000 0.000 0.500
Au1 Au 0.500 0.500 0.248
# Mass density in g/cm³: 17.28

---

#2 is preferred energetically. Next in line: 1.8 kJ/mol of atoms higher.

---

#1
# Li2TaW | Alexandria | GGA-PBEsol | optimized geometry
data_Li2TaW
_symmetry_space_group_name_H-M 'F m -3 m'
_symmetry_Int_Tables_number 225
_symmetry_space_group_name_Hall '-F 4 2 3'
_cell_length_a 6.022
_cell_length_b 6.022
_cell_length_c 6.022
_cell_angle_alpha 90.00
_cell_angle_beta 90.00
_cell_angle_gamma 90.00
loop_
_atom_site_label
_atom_site_type_symbol
_atom_site_fract_x
_atom_site_fract_y
_atom_site_fract_z
Li1 Li 0.250 0.250 0.250
Ta1 Ta 0.000 0.000 0.000
W1 W 0.000 0.000 0.500
# Mass density in g/cm³: 11.52

---

#2
# Li2TaW | Alexandria | GGA-PBEsol | optimized geometry
data_Li2TaW
_symmetry_space_group_name_H-M 'P 4/m m m'
_symmetry_Int_Tables_number 123
_symmetry_space_group_name_Hall '-P 4 2'
_cell_length_a 3.647
_cell_length_b 3.647
_cell_length_c 4.810
_cell_angle_alpha 90.00
_cell_angle_beta 90.00
_cell_angle_gamma 90.00
loop_
_atom_site_label
_atom_site_type_symbol
_atom_site_fract_x
_atom_site_fract_y
_atom_site_fract_z
Li1 Li 0.000 0.500 0.000
Ta1 Ta 0.000 0.000 0.500
W1 W 0.500 0.500 0.500
# Mass density in g/cm³: 9.83

---

#2 is preferred energetically. Next in line: 25.7 kJ/mol of atoms higher.

---

#1
# Li3Ag | Alexandria | GGA-PBEsol | optimized geometry
data_Li3Ag
_symmetry_space_group_name_H-M 'P 63/m m c'
_symmetry_Int_Tables_number 194
_symmetry_space_group_name_Hall '-P 6c 2c'
_cell_length_a 5.7014
_cell_length_b 5.7014
_cell_length_c 9.2306
_cell_angle_alpha 90.00
_cell_angle_beta 90.00
_cell_angle_gamma 120.00
loop_
_atom_site_label
_atom_site_type_symbol
_atom_site_fract_x
_atom_site_fract_y
_atom_site_fract_z
Li1 Li 0.0000 0.5000 0.0000
Li2 Li 0.1605 0.3210 0.2500
Ag1 Ag 0.0000 0.0000 0.0000
Ag2 Ag 0.3333 0.6667 0.7500
# Mass density in g/cm³: 3.29

---

#2
# Li3Ag | Alexandria | GGA-PBEsol | optimized geometry
data_Li3Ag
_symmetry_space_group_name_H-M 'P 1 2/m 1'
_symmetry_Int_Tables_number 10
_symmetry_space_group_name_Hall '-P 2y'
_cell_length_a 2.955
_cell_length_b 3.826
_cell_length_c 5.883
_cell_angle_alpha 90.00
_cell_angle_beta 90.35
_cell_angle_gamma 90.00
loop_
_atom_site_label
_atom_site_type_symbol
_atom_site_fract_x
_atom_site_fract_y
_atom_site_fract_z
Li1 Li 0.000 0.000 0.000
Li2 Li 0.499 0.500 0.274
Ag1 Ag 0.000 0.000 0.500
# Mass density in g/cm³: 3.21

---

#1 is preferred energetically. Next in line: 0.7 kJ/mol of atoms higher.

---

#1
# CoOsAu2 | Alexandria | GGA-PBEsol | optimized geometry
data_CoOsAu2
_symmetry_space_group_name_H-M 'F m -3 m'
_symmetry_Int_Tables_number 225
_symmetry_space_group_name_Hall '-F 4 2 3'
_cell_length_a 6.182
_cell_length_b 6.182
_cell_length_c 6.182
_cell_angle_alpha 90.00
_cell_angle_beta 90.00
_cell_angle_gamma 90.00
loop_
_atom_site_label
_atom_site_type_symbol
_atom_site_fract_x
_atom_site_fract_y
_atom_site_fract_z
Co1 Co 0.000 0.000 0.000
Os1 Os 0.000 0.000 0.500
Au1 Au 0.250 0.250 0.250
# Mass density in g/cm³: 18.08

---

#2
# CoOsAu2 | Alexandria | GGA-PBEsol | optimized geometry
data_CoOsAu2
_symmetry_space_group_name_H-M 'P 4 m m'
_symmetry_Int_Tables_number 99
_symmetry_space_group_name_Hall 'P 4 -2'
_cell_length_a 2.730
_cell_length_b 2.730
_cell_length_c 7.767
_cell_angle_alpha 90.00
_cell_angle_beta 90.00
_cell_angle_gamma 90.00
loop_
_atom_site_label
_atom_site_type_symbol
_atom_site_fract_x
_atom_site_fract_y
_atom_site_fract_z
Co1 Co 0.000 0.000 0.000
Os1 Os 0.500 0.500 0.192
Au1 Au 0.000 0.000 0.465
Au2 Au 0.500 0.500 0.752
# Mass density in g/cm³: 18.44

---

#2 is preferred energetically. Next in line: 45.3 kJ/mol of atoms higher.

---

#1
# TcIr2Pt | Alexandria | GGA-PBEsol | optimized geometry
data_TcIr2Pt
_symmetry_space_group_name_H-M 'C 1 2/m 1'
_symmetry_Int_Tables_number 12
_symmetry_space_group_name_Hall '-C 2y'
_cell_length_a 9.043
_cell_length_b 2.703
_cell_length_c 4.710
_cell_angle_alpha 90.00
_cell_angle_beta 99.69
_cell_angle_gamma 90.00
loop_
_atom_site_label
_atom_site_type_symbol
_atom_site_fract_x
_atom_site_fract_y
_atom_site_fract_z
Tc1 Tc 0.000 0.000 0.000
Ir1 Ir 0.245 0.500 0.242
Pt1 Pt 0.000 0.500 0.500
# Mass density in g/cm³: 19.83

---

#2
# TcIr2Pt | Alexandria | GGA-PBEsol | optimized geometry
data_TcIr2Pt
_symmetry_space_group_name_H-M 'P m m m'
_symmetry_Int_Tables_number 47
_symmetry_space_group_name_Hall '-P 2 2'
_cell_length_a 2.712
_cell_length_b 3.831
_cell_length_c 5.470
_cell_angle_alpha 90.00
_cell_angle_beta 90.00
_cell_angle_gamma 90.00
loop_
_atom_site_label
_atom_site_type_symbol
_atom_site_fract_x
_atom_site_fract_y
_atom_site_fract_z
Tc1 Tc 0.000 0.000 0.000
Ir1 Ir 0.500 0.500 0.241
Pt1 Pt 0.000 0.000 0.500
# Mass density in g/cm³: 19.79

---

#2 is preferred energetically. Next in line: 1.7 kJ/mol of atoms higher.

---

#1
# ZrNiBr2 | Alexandria | GGA-PBEsol | optimized geometry
data_ZrNiBr2
_symmetry_space_group_name_H-M 'F m -3 m'
_symmetry_Int_Tables_number 225
_symmetry_space_group_name_Hall '-F 4 2 3'
_cell_length_a 6.546
_cell_length_b 6.546
_cell_length_c 6.546
_cell_angle_alpha 90.00
_cell_angle_beta 90.00
_cell_angle_gamma 90.00
loop_
_atom_site_label
_atom_site_type_symbol
_atom_site_fract_x
_atom_site_fract_y
_atom_site_fract_z
Zr1 Zr 0.000 0.000 0.000
Ni1 Ni 0.000 0.000 0.500
Br1 Br 0.250 0.250 0.250
# Mass density in g/cm³: 7.33

---

#2
# ZrNiBr2 | Alexandria | GGA-PBEsol | optimized geometry
data_ZrNiBr2
_symmetry_space_group_name_H-M 'C m m m'
_symmetry_Int_Tables_number 65
_symmetry_space_group_name_Hall '-C 2 2'
_cell_length_a 3.247
_cell_length_b 6.023
_cell_length_c 8.156
_cell_angle_alpha 90.00
_cell_angle_beta 90.00
_cell_angle_gamma 90.00
loop_
_atom_site_label
_atom_site_type_symbol
_atom_site_fract_x
_atom_site_fract_y
_atom_site_fract_z
Zr1 Zr 0.000 0.000 0.000
Ni1 Ni 0.000 0.000 0.500
Br1 Br 0.000 0.500 0.275
# Mass density in g/cm³: 6.45

---

#1 is preferred energetically. Next in line: 6.1 kJ/mol of atoms higher.

---

#1
# La2TeBr | Alexandria | GGA-PBEsol | optimized geometry
data_La2TeBr
_symmetry_space_group_name_H-M 'R -3 m'
_symmetry_Int_Tables_number 166
_symmetry_space_group_name_Hall '-R 3 2"'
_cell_length_a 4.4586
_cell_length_b 4.4586
_cell_length_c 20.7006
_cell_angle_alpha 90.00
_cell_angle_beta 90.00
_cell_angle_gamma 120.00
loop_
_atom_site_label
_atom_site_type_symbol
_atom_site_fract_x
_atom_site_fract_y
_atom_site_fract_z
La1 La 0.0000 0.0000 0.2451
Te1 Te 0.0000 0.0000 0.0000
Br1 Br 0.0000 0.0000 0.5000
# Mass density in g/cm³: 6.78

---

#2
# La2TeBr | Alexandria | GGA-PBEsol | optimized geometry
data_La2TeBr
_symmetry_space_group_name_H-M 'P 1 2/m 1'
_symmetry_Int_Tables_number 10
_symmetry_space_group_name_Hall '-P 2y'
_cell_length_a 4.579
_cell_length_b 4.229
_cell_length_c 6.215
_cell_angle_alpha 90.00
_cell_angle_beta 90.47
_cell_angle_gamma 90.00
loop_
_atom_site_label
_atom_site_type_symbol
_atom_site_fract_x
_atom_site_fract_y
_atom_site_fract_z
La1 La 0.000 0.000 0.000
La2 La 0.500 0.500 0.500
Te1 Te 0.000 0.000 0.500
Br1 Br 0.500 0.500 0.000
# Mass density in g/cm³: 6.70

---

#1 is preferred energetically. Next in line: 3.2 kJ/mol of atoms higher.

---

#1
# KCo2Cu | Alexandria | GGA-PBEsol | optimized geometry
data_KCo2Cu
_symmetry_space_group_name_H-M 'P 4 m m'
_symmetry_Int_Tables_number 99
_symmetry_space_group_name_Hall 'P 4 -2'
_cell_length_a 2.876
_cell_length_b 2.876
_cell_length_c 7.706
_cell_angle_alpha 90.00
_cell_angle_beta 90.00
_cell_angle_gamma 90.00
loop_
_atom_site_label
_atom_site_type_symbol
_atom_site_fract_x
_atom_site_fract_y
_atom_site_fract_z
K1 K 0.000 0.000 0.000
Co1 Co 0.000 0.000 0.477
Co2 Co 0.500 0.500 0.334
Cu1 Cu 0.500 0.500 0.662
# Mass density in g/cm³: 5.74

---

#2
# KCo2Cu | Alexandria | GGA-PBEsol | optimized geometry
data_KCo2Cu
_symmetry_space_group_name_H-M 'P 4/m m m'
_symmetry_Int_Tables_number 123
_symmetry_space_group_name_Hall '-P 4 2'
_cell_length_a 3.029
_cell_length_b 3.029
_cell_length_c 7.379
_cell_angle_alpha 90.00
_cell_angle_beta 90.00
_cell_angle_gamma 90.00
loop_
_atom_site_label
_atom_site_type_symbol
_atom_site_fract_x
_atom_site_fract_y
_atom_site_fract_z
K1 K 0.000 0.000 0.000
Co1 Co 0.500 0.500 0.350
Cu1 Cu 0.000 0.000 0.500
# Mass density in g/cm³: 5.41

---

#1 is preferred energetically. Next in line: 22.2 kJ/mol of atoms higher.